No. 1
PuHf5Zr6 | GGA-PBE | relaxed

The structure belongs to space group P-1 (No. 2); the cell edges are 5.5090, 6.3892 and 7.8066 Å and the angles 89.94°, 89.66° and 89.92°. Symmetry generates all atoms from Pu at (0.0000, 0.0000, 0.0000), Hf at (0.0000, 0.5000, 0.0000), Hf at (0.3345, 0.5000, 0.3288), Hf at (0.3359, 0.9998, 0.3358), Zr at (0.1666, 0.2499, 0.6648), Zr at (0.1665, 0.7505, 0.6653) and Zr at (0.4996, 0.2523, 0.0000).

=====

No. 2
Pu2Hf3Zr8 | GGA-PBE | relaxed

The structure belongs to space group C2/m (No. 12); the cell edges are 17.8968, 6.8260 and 5.1100 Å and the angles 90.00°, 91.36° and 90.00°. Symmetry generates all atoms from Pu at (0.2403, 0.0000, 0.4388), Hf at (0.0000, 0.0000, 0.5000), Hf at (0.0000, 0.2765, 0.0000), Zr at (0.1045, 0.2909, 0.5075), Zr at (0.1373, 0.0000, 0.9850) and Zr at (0.1700, 0.5000, 0.0262).

=====

No. 3
PuHf2Zr | GGA-PBE | relaxed

The structure belongs to space group P4/mmm (No. 123); the cell edges are 5.2789, 5.2789 and 3.2766 Å and the angles 90.00°, 90.00° and 90.00°. Symmetry generates all atoms from Pu at (0.0000, 0.0000, 0.0000), Hf at (0.0000, 0.5000, 0.5000) and Zr at (0.5000, 0.5000, 0.0000).

=====

No. 4
PuHf4Zr2 | GGA-PBE | relaxed

The structure belongs to space group Immm (No. 71); the cell edges are 3.1206, 5.2117 and 19.8789 Å and the angles 90.00°, 90.00° and 90.00°. Symmetry generates all atoms from Pu at (0.0000, 0.0000, 0.0000), Hf at (0.0000, 0.5000, 0.0836), Hf at (0.0000, 0.5000, 0.3642) and Zr at (0.0000, 0.0000, 0.2783).

=====

No. 5
PuHf6Zr8 | GGA-PBE | relaxed

The structure belongs to space group P-3 (No. 147); the cell edges are 8.6856, 8.6856 and 5.3261 Å and the angles 90.00°, 90.00° and 120.00°. Symmetry generates all atoms from Pu at (0.0000, 0.0000, 0.0000), Hf at (0.1023, 0.6211, 0.7728), Zr at (0.0568, 0.7822, 0.2872) and Zr at (0.3333, 0.6667, 0.2788).

=====

No. 6
Pu2Hf2Zr7 | GGA-PBE | relaxed

The structure belongs to space group C2/c (No. 15); the cell edges are 6.0146, 15.8670 and 10.8599 Å and the angles 90.00°, 92.94° and 90.00°. Symmetry generates all atoms from Pu at (0.1724, 0.1007, 0.4172), Hf at (0.1805, 0.0202, 0.6599), Zr at (0.0000, 0.3917, 0.7500), Zr at (0.1204, 0.2104, 0.6280), Zr at (0.1423, 0.2223, 0.1298) and Zr at (0.1544, 0.4164, 0.0723).

=====

No. 7
Pu2Hf2Zr5 | GGA-PBE | relaxed

The structure belongs to space group P-1 (No. 2); the cell edges are 3.1799, 8.4110 and 8.5361 Å and the angles 70.12°, 79.39° and 79.27°. Symmetry generates all atoms from Pu at (0.0571, 0.1644, 0.2190), Hf at (0.1688, 0.4976, 0.6656), Zr at (0.2763, 0.8308, 0.1195), Zr at (0.3882, 0.1732, 0.5477) and Zr at (0.5000, 0.5000, 0.0000).

=====

No. 8
PuHf2Zr | GGA-PBE | relaxed

The structure belongs to space group R3m (No. 160, hexagonal axes); the cell edges are 3.2238, 3.2238 and 31.1759 Å and the angles 90.00°, 90.00° and 120.00°. Symmetry generates all atoms from Pu at (0.0000, 0.0000, 0.0000), Hf at (0.0000, 0.0000, 0.2483), Hf at (0.0000, 0.0000, 0.4189) and Zr at (0.0000, 0.0000, 0.8333).

=====

Computed energy relative to the elements (meV/atom) in order:
56; 277; 164; 117; 193; 221; 64; 123